Entry from Alexandria: an optimized crystal structure of CaEuZrFeO6 (GGA+U).

**N(E_F)**: 16.23 states/eV/cell
**Magnetization**: 8.4 μB/f.u.
**Calculated density**: 5.8 g/cm³
**Electronic total energy**: -7.965 eV per atom

```
CaEuZrFeO6
1.0
-3.3408 -0.3579 4.4697
-5.0652 2.3667 -0.0987
-4.5796 -3.2033 -0.1818
Eu O Ca Zr Fe
1 6 1 1 1
direct
0.7500 0.7500 0.7500 Eu
0.7616 0.2384 0.2384 O
0.2384 0.2384 0.7616 O
0.7616 0.2384 0.7616 O
0.7616 0.7616 0.2384 O
0.2384 0.7616 0.7616 O
0.2384 0.7616 0.2384 O
0.2500 0.2500 0.2500 Ca
0.5000 0.5000 0.5000 Zr
0.0000 0.0000 0.0000 Fe
```